Density functional theory data (PBE with a Hubbard U) for an optimized crystal structure of KNiO2F.

Properties
The calculation puts the magnetization at 3.40 μB/f.u. The electronic total energy is -21.0 eV for the cell shown. The calculation puts the volume at 13.02 Å³/atom. The density of states at the Fermi level is 3.66 states/eV per cell.

Unit cell a=3.852 b=3.852 c=4.386 alpha=90.00 beta=90.00 gamma=90.00
Positions (direct):
K  0.000  0.000  0.000
Ni  0.500  0.500  0.500
O  0.000  0.500  0.500
O  0.500  0.000  0.500
F  0.500  0.500  0.000